Entry 1:
DFT (PBE) results for DyThTc2 after structural relaxation.

abc: 4.9146 4.9146 4.9146
angles: 60.00 60.00 60.00
Closest atoms and distances in Å follow each position.
Element x y z (fractional)
1 Dy 0.0000 0.0000 0.0000  8 Tc 3.01
2 Th 0.5000 0.5000 0.5000  8 Tc 3.01
3 Tc 0.2500 0.2500 0.2500  4 Dy 3.01, 4 Th 3.01
4 Tc 0.7500 0.7500 0.7500  4 Th 3.01, 4 Dy 3.01

Its symmetry is Fm-3m. The density of states at the Fermi level comes out at 4.6 states/eV/cell. Its crystal system is cubic. The calculation puts the formation energy from the elements at -0.1 eV per formula unit. The energy above the most stable polymorph in this dataset is 0 meV per atom.

=====

Entry 2:
DFT (PBE) results for AcPm2As after structural relaxation.

abc: 3.8567 3.8567 8.2462
angles: 90.00 90.00 90.00
Closest atoms and distances in Å follow each position.
Element x y z (fractional)
1 Ac 0.0000 0.0000 0.0000  8 Pm 3.74, 4 Ac 3.86, 2 As 4.12
2 Pm 0.5000 0.5000 0.3105  1 Pm 3.13, 4 As 3.14
3 Pm 0.5000 0.5000 0.6895  1 Pm 3.13, 4 As 3.14
4 As 0.0000 0.0000 0.5000  8 Pm 3.14

Its symmetry is P4/mmm. The density of states at the Fermi level comes out at 5.8 states/eV/cell. Its crystal system is tetragonal. The calculation puts the formation energy from the elements at -2.2 eV per formula unit. The energy above the most stable polymorph in this dataset is 109 meV per atom.